Entry 1:
Entry from the Alexandria database: a crystal of SrAlW relaxed with PBEsol (meta-GGA SCAN).

Lattice parameters (Å, degrees): 4.9013 4.9013 4.9013 60.00 60.00 60.00
Closest atoms and distances in Å follow each position.
Element x y z (fractional)
W: 0.0000 0.0000 0.0000  4 Sr 3.00
Sr: 0.2500 0.2500 0.2500  4 W 3.00, 4 Al 3.00
Al: 0.5000 0.5000 0.5000  4 Sr 3.00

Computed properties:
M_tot: 3.01 μB per cell
symmetry: No. 216
DFT total energy: -93.4 eV/cell
calculated density: 5.95 g cm⁻³
offset from the most stable computed form: 0.744 eV/atom
E_form: 2.089 eV per atom

***

Entry 2:
Entry from the Alexandria database: a crystal of SrAlBr relaxed with PBEsol (meta-GGA SCAN).

Lattice parameters (Å, degrees): 3.9185 3.9185 7.2969 90.00 90.00 120.00
Closest atoms and distances in Å follow each position.
Element x y z (fractional)
Sr: 0.3333 0.6667 0.3537  3 Br 3.01, 3 Al 3.32
Br: 0.6667 0.3333 0.6256  3 Sr 3.01
Al: 0.0000 0.0000 0.0207  3 Sr 3.32, 3 Br 3.66

Computed properties:
M_tot: 0.59 μB per cell
symmetry: No. 156
DFT total energy: -51.0 eV/cell
calculated density: 3.33 g cm⁻³
energy relative to the elements, uncorrected: -497.8 meV per atom

***

Entry 3:
Entry from the Alexandria database: a crystal of MnFe relaxed with PBEsol (meta-GGA SCAN).

Lattice parameters (Å, degrees): 2.4335 4.5907 5.7342 103.33 90.00 105.37
Closest atoms and distances in Å follow each position.
Element x y z (fractional)
Mn: 0.0527 0.1055 0.6132  6 Fe 2.37-2.44, 6 Mn 2.43-2.46
Mn: 0.7239 0.4477 0.9460  5 Mn 2.38-2.46, 7 Fe 2.38-2.43
Mn: 0.6674 0.3349 0.3310  5 Mn 2.38-2.43, 7 Fe 2.40-2.45
Fe: 0.3339 0.6677 0.6659  7 Mn 2.37-2.45, 5 Fe 2.40-2.44
Fe: 0.3900 0.7801 0.2770  5 Fe 2.38-2.43, 7 Mn 2.40-2.44
Fe: 0.9987 0.9974 0.0003  6 Mn 2.38-2.44, 6 Fe 2.38-2.44

Computed properties:
M_tot: 0.00 μB per cell
symmetry: No. 8
DFT total energy: -107.3 eV/cell
calculated density: 9.20 g cm⁻³
E_form: 0.304 eV per atom

***

Entry 4:
Entry from the Alexandria database: a crystal of RbY2InPb relaxed with PBEsol (meta-GGA SCAN).

Lattice parameters (Å, degrees): 5.3754 5.3754 5.8259 90.00 90.00 90.00
Closest atoms and distances in Å follow each position.
Element x y z (fractional)
In: 0.5000 0.5000 0.5000  4 Pb 3.80, 8 Y 3.96
Y: 0.0000 0.5000 0.0000  2 Rb 2.69
Pb: 0.0000 0.0000 0.5000  2 Rb 2.91
Rb: 0.0000 0.0000 0.0000  4 Y 2.69, 2 Pb 2.91
Y: 0.5000 0.0000 0.0000  2 Rb 2.69

Computed properties:
M_tot: 0.00 μB per cell
symmetry: No. 123
DFT total energy: -179.6 eV/cell
calculated density: 5.77 g cm⁻³
E_form: 1.208 eV per atom

***

Entry 5:
Entry from the Alexandria database: a crystal of HfTe3Ir relaxed with PBEsol (meta-GGA SCAN).

Lattice parameters (Å, degrees): 5.1148 5.1148 5.1148 90.00 90.00 90.00
Closest atoms and distances in Å follow each position.
Element x y z (fractional)
Te: 0.0000 0.0000 0.5000  2 Ir 2.56
Hf: 0.5000 0.5000 0.5000  12 Te 3.62
Ir: 0.0000 0.0000 0.0000  6 Te 2.56
Te: 0.0000 0.5000 0.0000  2 Ir 2.56
Te: 0.5000 0.0000 0.0000  2 Ir 2.56

Computed properties:
M_tot: 0.00 μB per cell
symmetry: No. 221
DFT total energy: -242.5 eV/cell
calculated density: 9.35 g cm⁻³
energy relative to the elements, uncorrected: 604.9 meV per atom

***

Entry 6:
Entry from the Alexandria database: a crystal of Ti2MoP2 relaxed with PBEsol (meta-GGA SCAN).

Lattice parameters (Å, degrees): 3.4167 6.3426 6.3426 90.00 90.00 90.00
Closest atoms and distances in Å follow each position.
Element x y z (fractional)
P: 0.0000 0.6379 0.1379  2 Mo 2.46, 1 P 2.47, 6 Ti 2.48-2.56
Ti: 0.5000 0.3386 0.1614  6 P 2.48-2.56
P: 0.0000 0.8621 0.6379  2 Mo 2.46, 1 P 2.47, 6 Ti 2.48-2.56
Mo: 0.0000 0.5000 0.5000  4 P 2.46
Ti: 0.5000 0.8386 0.3386  6 P 2.48-2.56
P: 0.0000 0.1379 0.3621  2 Mo 2.46, 1 P 2.47, 6 Ti 2.48-2.56
P: 0.0000 0.3621 0.8621  2 Mo 2.46, 1 P 2.47, 6 Ti 2.48-2.56
Ti: 0.5000 0.1614 0.6614  6 P 2.48-2.56
Mo: 0.0000 0.0000 0.0000  4 P 2.46
Ti: 0.5000 0.6614 0.8386  6 P 2.48-2.56

Computed properties:
M_tot: 0.00 μB per cell
symmetry: No. 127
DFT total energy: -185.5 eV/cell
calculated density: 6.13 g cm⁻³
E_form: -1.005 eV per atom

***

Entry 7:
Entry from the Alexandria database: a crystal of ZrCu2Te relaxed with PBEsol (meta-GGA SCAN).

Lattice parameters (Å, degrees): 4.6277 4.6277 4.6277 60.00 60.00 60.00
Closest atoms and distances in Å follow each position.
Element x y z (fractional)
Cu: 0.0000 0.0000 0.0000  4 Zr 2.83, 4 Cu 2.83
Zr: 0.2500 0.2500 0.2500  4 Te 2.83, 4 Cu 2.83
Te: 0.5000 0.5000 0.5000  4 Cu 2.83, 4 Zr 2.83
Cu: 0.7500 0.7500 0.7500  4 Te 2.83, 4 Cu 2.83

Computed properties:
M_tot: 0.00 μB per cell
symmetry: No. 216
DFT total energy: -97.9 eV/cell
calculated density: 8.20 g cm⁻³
energy relative to the elements, uncorrected: 99.9 meV per atom

***

Entry 8:
Entry from the Alexandria database: a crystal of KSn2Hg2 relaxed with PBEsol (meta-GGA SCAN).

Lattice parameters (Å, degrees): 4.6777 4.6777 7.2499 108.82 108.82 90.00
Closest atoms and distances in Å follow each position.
Element x y z (fractional)
K: 0.0000 0.0000 0.0000  8 Hg 3.58, 8 Sn 3.98
Hg: 0.3935 0.3935 0.7869  1 Hg 2.75, 4 Sn 2.98
Sn: 0.2500 0.7500 0.5000  4 Hg 2.98, 4 Sn 3.31
Sn: 0.7500 0.2500 0.5000  4 Hg 2.98, 4 Sn 3.31
Hg: 0.6065 0.6065 0.2131  1 Hg 2.75, 4 Sn 2.98

Computed properties:
M_tot: 0.00 μB per cell
symmetry: No. 139
DFT total energy: -217.5 eV/cell
calculated density: 7.97 g cm⁻³
E_form: -0.204 eV per atom

***

What did the first record say?
Entry from the Alexandria database: a crystal of SrAlW relaxed with PBEsol (meta-GGA SCAN).

Lattice parameters (Å, degrees): 4.9013 4.9013 4.9013 60.00 60.00 60.00
Closest atoms and distances in Å follow each position.
Element x y z (fractional)
W: 0.0000 0.0000 0.0000  4 Sr 3.00
Sr: 0.2500 0.2500 0.2500  4 W 3.00, 4 Al 3.00
Al: 0.5000 0.5000 0.5000  4 Sr 3.00

Computed properties:
M_tot: 3.01 μB per cell
symmetry: No. 216
DFT total energy: -93.4 eV/cell
calculated density: 5.95 g cm⁻³
offset from the most stable computed form: 0.744 eV/atom
E_form: 2.089 eV per atom